The following is a DFT calculation (GGA-PBE) of a relaxed Te6PdW crystal.

Cell lengths 6.5475, 6.7259, 6.7307 Å; angles 66.12, 61.17, 62.86 degrees
Positions (direct):
Te: 0.0324 0.2126 0.2963
Te: 0.2846 0.6922 0.0769
Te: 0.4166 0.2074 0.5849
Te: 0.5834 0.7926 0.4151
Te: 0.7154 0.3078 0.9231
Te: 0.9676 0.7874 0.7037
Pd: 0.5000 0.0000 0.0000
W: 0.0000 0.5000 0.5000

Values from the calculation:
As for the uncorrected formation energy: -0.13 eV per formula unit. The crystal system is triclinic. The total DFT energy (no corrections) is -4.64 eV per atom. The size of the total moment is 0.0 μB/f.u.

The following is a DFT calculation (GGA-PBE) of a relaxed TePdW crystal.

Cell lengths 12.8300, 3.2468, 3.2468 Å; angles 60.00, 90.00, 90.00 degrees
Positions (direct):
Te: 0.1535 0.0000 0.0000
Te: 0.8465 0.0000 0.0000
Pd: 0.3499 0.6711 0.6711
Pd: 0.6501 0.6711 0.6711
W: 0.0000 0.3334 0.3334
W: 0.5000 0.3380 0.3380

Values from the calculation:
As for the uncorrected formation energy: 1.02 eV per formula unit. The crystal system is orthorhombic. The total DFT energy (no corrections) is -6.76 eV per atom. The size of the total moment is 0.0 μB/f.u.

The following is a DFT calculation (GGA-PBE) of a relaxed Te4PdW crystal.

Cell lengths 7.6185, 7.6185, 7.6185 Å; angles 106.88, 106.88, 114.79 degrees
Positions (direct):
Te: 0.1807 0.4895 0.6912
Te: 0.2395 0.0483 0.8088
Te: 0.2395 0.4307 0.1912
Te: 0.3027 0.0000 0.3027
Te: 0.6973 0.0000 0.6973
Te: 0.7500 0.5527 0.8027
Te: 0.7500 0.9473 0.1973
Te: 0.7983 0.4895 0.3088
Pd: 0.2432 0.7432 0.5000
Pd: 0.4932 0.4932 0.0000
W: 0.7387 0.2387 0.5000
W: 0.9887 0.9887 0.0000

Values from the calculation:
As for the uncorrected formation energy: 0.43 eV per formula unit. The crystal system is tetragonal. The total DFT energy (no corrections) is -5.05 eV per atom. The size of the total moment is 0.0 μB/f.u.

Which of these has the highest uncorrected formation energy? TePdW